Material: InSe
Method: DFT, PBEsol
State: relaxed

Computed properties:
Symmetry = R3m (160)
Total DFT energy (no corrections) = -7.80 eV/f.u.
V = 57.9 Å³/f.u.
Size of the total moment = 0.0 μB per formula unit

a b c (Å): 4.003 4.003 8.664
angles (deg): 76.64 76.64 60.00
Fractional positions:
In  0.000  0.000  0.001
In  0.889  0.889  0.333
Se  0.171  0.171  0.486
Se  0.384  0.384  0.847